Record 1
First-principles (GGA-PBE) data for a geometry-optimized HoBr2 structure, as listed in Alexandria via LeMat-Bulk.

**Fermi-level density of states**: 3.52 states/eV/cell
**Energy relative to the elements, uncorrected**: -1.48 eV/atom
**DFT total energy**: -4.1189 eV per atom

Lattice parameters (Å, degrees): 7.2562 7.2562 3.6314 90.00 90.00 90.00
Last column: nearest neighbours and their distance in Å.
Space group P4_2/mnm (No. 136)
Symmetry-distinct sites (fractional):
Ho  0.0000  0.0000  0.0000  6 Br 2.88-2.89
Br  0.2183  0.2183  0.5000  3 Ho 2.88-2.89

***

Record 2
First-principles (GGA-PBE) data for a geometry-optimized SrLa2W structure, as listed in Alexandria via LeMat-Bulk.

**Fermi-level density of states**: 12.34 states/eV/cell
**DFT total energy**: -5.2078 eV per atom
**Energy of formation**: 3.659 eV/f.u.

Lattice parameters (Å, degrees): 7.0151 11.2449 3.2261 90.00 115.90 90.00
Last column: nearest neighbours and their distance in Å.
Space group C2/m (No. 12)
Symmetry-distinct sites (fractional):
Sr  0.0000  0.0000  0.0000  2 Sr 3.23, 4 La 3.33, 4 W 3.51-3.58
La  0.2500  0.2500  0.5000  6 La 3.23-3.58, 2 W 3.33, 2 Sr 3.33
W  0.0000  0.5000  0.0000  2 W 3.23, 4 La 3.33, 4 Sr 3.51-3.58

***

Record 3
First-principles (GGA-PBE) data for a geometry-optimized CeTh3Sb4 structure, as listed in Alexandria via LeMat-Bulk.

**Fermi-level density of states**: 21.47 states/eV/cell
**Energy relative to the elements, uncorrected**: -0.95 eV/atom
**DFT total energy**: -6.5378 eV per atom

Lattice parameters (Å, degrees): 9.0291 12.7416 4.4974 90.00 90.00 90.00
Last column: nearest neighbours and their distance in Å.
Space group Cmmm (No. 65)
Symmetry-distinct sites (fractional):
Ce  0.0000  0.0000  0.0000  6 Sb 3.18
Th  0.0000  0.5000  0.0000  6 Sb 3.19
Th  0.2500  0.2500  0.5000  6 Sb 3.19
Sb  0.0000  0.2493  0.0000  1 Ce 3.18, 5 Th 3.19
Sb  0.2489  0.0000  0.5000  2 Ce 3.18, 4 Th 3.19

***

Record 4
First-principles (GGA-PBE) data for a geometry-optimized Mg3Ge2Pd8 structure, as listed in Alexandria via LeMat-Bulk.

**Fermi-level density of states**: 12.95 states/eV/cell
**DFT total energy**: -4.6113 eV per atom
**Energy of formation**: -4.386 eV/f.u.

Lattice parameters (Å, degrees): 5.3761 5.3761 27.3219 90.00 90.00 120.00
Last column: nearest neighbours and their distance in Å.
Space group R-3m (No. 166, hexagonal axes)
Symmetry-distinct sites (fractional):
Mg  0.0000  0.0000  0.0000  12 Pd 3.26-3.38, 6 Ge 3.26
Mg  0.0000  0.0000  0.1887  10 Pd 2.60-2.90
Ge  0.0000  0.0000  0.3702  4 Pd 2.36-2.44
Pd  0.0000  0.0000  0.2839  1 Ge 2.36, 1 Mg 2.60
Pd  0.0044  0.5022  0.7719  1 Ge 2.44, 4 Pd 2.65-2.72

***

Record 5
First-principles (GGA-PBE) data for a geometry-optimized MnFeGe structure, as listed in Alexandria via LeMat-Bulk.

**Fermi-level density of states**: 2.83 states/eV/cell
**DFT total energy**: -7.3690 eV per atom
**Energy of formation**: 0.143 eV/f.u.

Lattice parameters (Å, degrees): 4.1148 4.1148 2.6320 90.00 90.00 120.00
Last column: nearest neighbours and their distance in Å.
Space group P3m1 (No. 156)
Symmetry-distinct sites (fractional):
Mn  0.0000  0.0000  0.0000  2 Mn 2.63, 6 Fe 2.71-2.72, 6 Ge 2.71-2.72
Fe  0.3333  0.6667  0.4969  3 Ge 2.38, 2 Fe 2.63
Ge  0.6667  0.3333  0.5006  3 Fe 2.38, 2 Ge 2.63

***

Record 6
First-principles (GGA-PBE) data for a geometry-optimized KRh2S2 structure, as listed in Alexandria via LeMat-Bulk.

**Fermi-level density of states**: 9.60 states/eV/cell
**Energy relative to the elements, uncorrected**: -0.50 eV/atom
**DFT total energy**: -5.3109 eV per atom

Lattice parameters (Å, degrees): 4.0120 4.0120 12.5473 90.00 90.00 90.00
Last column: nearest neighbours and their distance in Å.
Space group I4/mmm (No. 139)
Symmetry-distinct sites (fractional):
K  0.0000  0.0000  0.0000  8 S 3.39, 8 Rh 3.72
Rh  0.0000  0.5000  0.2500  4 S 2.38
S  0.0000  0.0000  0.3525  4 Rh 2.38

***

no.,V (Å³ per cell)
1,191.2
2,228.9
3,517.4
4,683.9
5,38.6
6,202.0